# 1
This record from the Alexandria database describes a relaxed LaCeAlCd crystal. The functional is PBE-GGA.

Calculated values
As for the total magnetic moment: 0.84 μB/cell. The formation energy is -0.237 eV per atom. As for the volume: 111.3 Å³ per cell. As for the crystal system: cubic.

Cell: 5.399 5.399 5.399 Å, 60.00 60.00 60.00°
Fractional coordinates of all 4 atoms:
Ce: 0.000 0.000 0.000
La: 0.500 0.500 0.500
Cd: 0.250 0.250 0.250
Al: 0.750 0.750 0.750



# 2
This record from the Alexandria database describes a relaxed Ca2FePt crystal. The functional is PBE-GGA.

Calculated values
As for the total magnetic moment: 2.53 μB/cell. The formation energy is -0.271 eV per atom. As for the volume: 97.2 Å³ per cell. As for the crystal system: orthorhombic.

Cell: 4.251 4.322 5.715 Å, 67.81 90.00 90.00°
Fractional coordinates of all 4 atoms:
Ca: 0.000 0.983 0.909
Pt: 0.500 0.567 0.741
Fe: 0.000 0.680 0.516
Ca: 0.500 0.270 0.335



# 3
This record from the Alexandria database describes a relaxed LuH2Ir crystal. The functional is PBE-GGA.

Calculated values
As for the total magnetic moment: 0.00 μB/cell. The total energy comes out at -22.0 eV/f.u. As for the volume: 49.0 Å³ per cell. As for the crystal system: trigonal.

Cell: 3.844 3.844 4.425 Å, 64.26 64.26 60.00°
Fractional coordinates of all 4 atoms:
H: 0.146 0.146 0.563
Lu: 0.500 0.500 0.500
Ir: 0.000 0.000 0.000
H: 0.854 0.854 0.437



Question: The lowest total magnetic moment belongs to which entry?
Answer: LuH2Ir



Question: Among the records above, which one has the highest total magnetic moment?
Answer: Ca2FePt



Question: Look up the volume of the second one.
Answer: 97.2 Å³ per cell